The following is a DFT calculation (PBEsol) of a geometry-optimized BeTeIr2 structure.

Cell lengths 3.9944, 3.9944, 8.5845 Å; angles 103.45, 103.45, 90.00 degrees
Element x y z (fractional)
Te  0.2500  0.7500  0.5000
Be  0.7500  0.2500  0.5000
Ir  0.4095  0.8750  0.2500
Be  0.5000  0.5000  0.0000
Ir  0.6250  0.5905  0.7500
Ir  0.8405  0.3750  0.2500
Ir  0.1250  0.1595  0.7500
Te  0.0000  0.0000  0.0000

## Properties
Energy relative to the elements, uncorrected ... 0.263 eV/atom
Total moment ... 0.000 μB/atom
SG ... No. 122
Energy above the lowest structure with this stoichiometry ... 7.0 kJ/mol of atoms

---

The following is a DFT calculation (PBEsol) of a geometry-optimized BeTeIr2 structure.

Cell lengths 4.0684, 4.5579, 4.0684 Å; angles 63.49, 90.00, 116.51 degrees
Element x y z (fractional)
Ir  0.7500  0.5000  0.7500
Be  0.0000  0.0000  0.0000
Te  0.5000  0.0000  0.5000
Ir  0.2500  0.5000  0.2500

## Properties
Energy relative to the elements, uncorrected ... 0.212 eV/atom
Total moment ... 0.000 μB/atom
SG ... No. 139
Energy above the lowest structure with this stoichiometry ... 2.0 kJ/mol of atoms

---

Copy entry 2 word for word.
The following is a DFT calculation (PBEsol) of a geometry-optimized BeTeIr2 structure.

Cell lengths 4.0684, 4.5579, 4.0684 Å; angles 63.49, 90.00, 116.51 degrees
Element x y z (fractional)
Ir  0.7500  0.5000  0.7500
Be  0.0000  0.0000  0.0000
Te  0.5000  0.0000  0.5000
Ir  0.2500  0.5000  0.2500

## Properties
Energy relative to the elements, uncorrected ... 0.212 eV/atom
Total moment ... 0.000 μB/atom
SG ... No. 139
Energy above the lowest structure with this stoichiometry ... 2.0 kJ/mol of atoms

---

Copy entry 2 word for word.
The following is a DFT calculation (PBEsol) of a geometry-optimized BeTeIr2 structure.

Cell lengths 4.0684, 4.5579, 4.0684 Å; angles 63.49, 90.00, 116.51 degrees
Element x y z (fractional)
Ir  0.7500  0.5000  0.7500
Be  0.0000  0.0000  0.0000
Te  0.5000  0.0000  0.5000
Ir  0.2500  0.5000  0.2500

## Properties
Energy relative to the elements, uncorrected ... 0.212 eV/atom
Total moment ... 0.000 μB/atom
SG ... No. 139
Energy above the lowest structure with this stoichiometry ... 2.0 kJ/mol of atoms

---

- The lowest energy above the lowest structure with this stoichiometry belongs to which entry?
  number 2